PBE with a Hubbard U Ac2MnIrO8, optimized geometry; calculated volume = 181 Å³/cell; total DFT energy (no corrections) = -88.07 eV for the cell shown; magnetization = 0.340 μB/atom
1.0
5.279 0.000 0.000
1.390 5.870 0.000
2.308 0.857 5.831
Ac Mn Ir O
2 1 1 8
Cartesian
1.282 1.175 0.907 Ac
7.693 5.552 4.923 Ac
3.793 0.429 2.915 Mn
4.488 3.364 2.915 Ir
3.948 3.502 4.716 O
3.602 5.197 2.610 O
2.978 2.155 2.574 O
4.834 6.363 4.826 O
4.142 0.365 1.005 O
5.998 4.573 3.257 O
5.374 1.531 3.221 O
5.027 3.226 1.115 O